! GdInCoTe3 | OQMD | PBE-GGA | optimized geometry; values from VASP
! - uncorrected energy (eV per atom) = -4.5507
! - volume (Å³/f.u.) = 178.9
&SYSTEM
  ibrav = 0, nat = 12, ntyp = 4
/
ATOMIC_SPECIES
Te 127.60 Te.upf
Co 58.93 Co.upf
In 114.82 In.upf
Gd 157.25 Gd.upf
CELL_PARAMETERS angstrom
-3.972 -5.043 4.736
-5.247 -5.941 0.906
8.308 -7.490 -1.007
ATOMIC_POSITIONS angstrom
Te -2.699 -4.570 1.970
Te 1.788 -13.904 2.666
Co -2.302 -7.090 2.428
Te 0.161 -7.149 1.623
In -4.871 -10.151 4.001
Gd 0.000 0.000 0.000
Gd 4.154 -3.745 -0.504
In 3.960 -8.323 0.635
Te -1.072 -11.325 3.012
Te 1.353 -2.735 0.191
Te -2.264 -15.739 4.444
Co 1.391 -11.384 2.207